# 1
Material: CdNiP
Method: DFT, GGA-PBE
State: optimized geometry

Output
For the formation energy, the calculation gives -0.02 eV/atom. The volume comes out at 16.4 Å³/atom.

The structure in CIF format:
```
data_CdNiP
_symmetry_space_group_name_H-M 'I 4 m m'
_symmetry_Int_Tables_number 107
_symmetry_space_group_name_Hall 'I 4 -2'
_cell_length_a 2.8719
_cell_length_b 2.8719
_cell_length_c 11.9166
_cell_angle_alpha 90.00
_cell_angle_beta 90.00
_cell_angle_gamma 90.00
loop_
_atom_site_label
_atom_site_type_symbol
_atom_site_fract_x
_atom_site_fract_y
_atom_site_fract_z
Cd1 Cd 0.0000 0.0000 0.0000
Ni1 Ni 0.0000 0.0000 0.3271
P1 P 0.0000 0.0000 0.7331
```


# 2
Material: LaYSe
Method: DFT, GGA-PBE
State: optimized geometry

Output
The energy relative to the elements, uncorrected comes out at -0.976 eV/atom. The calculation puts the polymorph energy (0 for the lowest one) at 0.165 eV/atom. The volume comes out at 29.0 Å³/atom.

The structure in CIF format:
```
data_LaYSe
_symmetry_space_group_name_H-M 'I 4 m m'
_symmetry_Int_Tables_number 107
_symmetry_space_group_name_Hall 'I 4 -2'
_cell_length_a 3.6655
_cell_length_b 3.6655
_cell_length_c 12.9438
_cell_angle_alpha 90.00
_cell_angle_beta 90.00
_cell_angle_gamma 90.00
loop_
_atom_site_label
_atom_site_type_symbol
_atom_site_fract_x
_atom_site_fract_y
_atom_site_fract_z
La1 La 0.0000 0.0000 0.0000
Y1 Y 0.0000 0.0000 0.2765
Se1 Se 0.0000 0.0000 0.6492
```


# 3
Material: LiSnAs2
Method: DFT, GGA-PBE
State: optimized geometry

Output
For the formation energy, the calculation gives -0.10 eV/atom. The volume comes out at 22.0 Å³/atom.

The structure in CIF format:
```
data_LiSnAs2
_symmetry_space_group_name_H-M 'R -3 m'
_symmetry_Int_Tables_number 166
_symmetry_space_group_name_Hall '-R 3 2"'
_cell_length_a 3.8156
_cell_length_b 3.8156
_cell_length_c 20.9010
_cell_angle_alpha 90.00
_cell_angle_beta 90.00
_cell_angle_gamma 120.00
loop_
_atom_site_label
_atom_site_type_symbol
_atom_site_fract_x
_atom_site_fract_y
_atom_site_fract_z
Li1 Li 0.0000 0.0000 0.0000
Sn1 Sn 0.0000 0.0000 0.5000
As1 As 0.0000 0.0000 0.2478
```